BaYTm PBE optimized geometry; offset from the most stable computed form = 0.289 eV per atom; theoretical density = 4.8 g/cm3
1.0
0.000 4.082 4.082
4.082 0.000 4.082
4.082 4.082 0.000
Ba Y Tm
1 1 1
Direct
0.000 0.000 0.000
0.500 0.500 0.500
0.250 0.250 0.250



Nd2TmMg3In2Hg PBE optimized geometry; VASP energy = -28.21 eV for the cell shown; theoretical density = 6.8 g/cm3
1.0
4.684 0.000 0.000
0.000 6.509 3.846
0.000 -6.509 3.846
Nd Tm Mg In Hg
2 1 3 2 1
Direct
0.000 0.209 0.791
0.000 0.791 0.209
0.000 0.372 0.372
0.500 0.025 0.025
0.500 0.549 0.788
0.500 0.788 0.549
0.500 0.129 0.454
0.500 0.454 0.129
0.000 0.777 0.777



DyCoSi PBE optimized geometry; VASP energy = -18.07 eV for the cell shown; theoretical density = 7.5 g/cm3
1.0
0.000 3.021 3.021
3.021 0.000 3.021
3.021 3.021 0.000
Dy Co Si
1 1 1
Direct
0.000 0.000 0.000
0.250 0.250 0.250
0.500 0.500 0.500



Y2HgPt PBE optimized geometry; formation enthalpy at 0 K = -541 meV per atom; theoretical density = 11.2 g/cm3
1.0
0.000 3.492 3.492
3.492 0.000 3.492
3.492 3.492 0.000
Y Hg Pt
2 1 1
Direct
0.000 0.000 0.000
0.250 0.250 0.250
0.750 0.750 0.750
0.500 0.500 0.500



NaTcHg PBE optimized geometry; offset from the most stable computed form = 0.000 eV per atom; theoretical density = 7.4 g/cm3
1.0
0.000 3.306 3.306
3.306 0.000 3.306
3.306 3.306 0.000
Na Tc Hg
1 1 1
Direct
0.000 0.000 0.000
0.500 0.500 0.500
0.250 0.250 0.250



PrHgTeO PBE optimized geometry; offset from the most stable computed form = 0.314 eV per atom; theoretical density = 5.6 g/cm3
1.0
5.319 0.000 0.000
0.000 9.407 0.000
0.000 0.000 5.792
Pr Hg Te O
2 2 2 2
Direct
0.000 0.135 0.000
0.000 0.865 0.500
0.500 0.312 0.612
0.500 0.688 0.112
0.500 0.313 0.116
0.500 0.687 0.616
0.000 0.078 0.638
0.000 0.922 0.138



NaThAgS3 PBE optimized geometry; VASP energy = -63.63 eV for the cell shown; theoretical density = 5.2 g/cm3
1.0
2.080 -6.571 0.000
2.080 6.571 0.000
0.000 0.000 10.731
Na Th Ag S
2 2 2 6
Direct
0.248 0.752 0.750
0.752 0.248 0.250
0.500 0.500 0.000
0.500 0.500 0.500
0.030 0.970 0.250
0.970 0.030 0.750
0.135 0.865 0.055
0.135 0.865 0.445
0.415 0.585 0.250
0.585 0.415 0.750
0.865 0.135 0.555
0.865 0.135 0.945



TbScCu PBE optimized geometry; offset from the most stable computed form = 0.000 eV per atom; formation enthalpy at 0 K = 74 meV per atom; theoretical density = 6.1 g/cm3
1.0
0.000 3.309 3.309
3.309 0.000 3.309
3.309 3.309 0.000
Tb Sc Cu
1 1 1
Direct
0.000 0.000 0.000
0.500 0.500 0.500
0.750 0.750 0.750



NiC8 PBE optimized geometry; offset from the most stable computed form = 0.000 eV per atom; theoretical density = 3.3 g/cm3
1.0
0.000 4.314 7.319
2.487 0.000 7.319
2.487 4.314 0.000
Ni C
2 16
Direct
0.125 0.125 0.125
0.875 0.875 0.875
0.081 0.414 0.335
0.084 0.415 0.833
0.167 0.832 0.916
0.168 0.833 0.415
0.331 0.665 0.586
0.335 0.669 0.081
0.414 0.081 0.669
0.415 0.084 0.168
0.585 0.916 0.832
0.586 0.919 0.331
0.665 0.331 0.919
0.669 0.335 0.414
0.832 0.167 0.585
0.833 0.168 0.084
0.916 0.585 0.167
0.919 0.586 0.665



NbTl2C PBE optimized geometry; VASP energy = -37.18 eV for the cell shown; theoretical density = 11.5 g/cm3
1.0
3.289 0.000 0.000
-1.645 2.849 0.000
0.000 0.000 15.888
Nb Tl C
2 4 2
Direct
0.333 0.667 0.250
0.667 0.333 0.750
0.333 0.667 0.601
0.333 0.667 0.899
0.667 0.333 0.101
0.667 0.333 0.399
0.000 0.000 0.000
0.000 0.000 0.500



NaSrTl4Ni2 PBE optimized geometry; VASP energy = -23.98 eV for the cell shown; theoretical density = 9.2 g/cm3
1.0
7.982 0.000 0.000
0.000 2.139 5.545
0.000 -2.139 5.545
Na Sr Tl Ni
1 1 4 2
Direct
0.000 0.000 0.000
0.500 0.876 0.876
0.193 0.288 0.288
0.291 0.584 0.584
0.709 0.584 0.584
0.807 0.288 0.288
0.000 0.720 0.720
0.500 0.157 0.157



Dy2YTmPd4 PBE optimized geometry; formation enthalpy at 0 K = -905 meV per atom; theoretical density = 9.9 g/cm3
1.0
4.930 0.000 0.000
0.000 4.930 0.000
0.000 0.000 6.968
Dy Y Tm Pd
2 1 1 4
Direct
0.000 0.000 0.000
0.500 0.500 0.500
0.000 0.000 0.500
0.500 0.500 0.000
0.000 0.500 0.247
0.000 0.500 0.753
0.500 0.000 0.247
0.500 0.000 0.753